Compound: MnNi2PtW
Source: Alexandria via LeMat-Bulk
Functional: PBE-GGA
Structure: optimized geometry

Computed properties:
DFT formation energy = 1.405 eV per atom
size of the total moment = 0.003 μB per formula unit
DOS(E_F) = 10.0 states/eV/cell

Cell: 4.131 4.131 4.542 Å, 90.00 90.00 90.00°
Space group P4/mmm (No. 123)
Inequivalent atoms, fractional coordinates:
Mn  0.000  0.000  0.000 x1
Ni  0.000  0.500  0.000 x2
Pt  0.000  0.000  0.500 x1
W  0.500  0.500  0.500 x1